No. 1
Below is a geometry-optimized Pr8Ir3PtCl4 structure, with properties calculated at the PBE level.

Lattice parameters (Å, degrees): 8.3795 8.9775 8.3771 117.88 120.01 90.00
Closest atoms and distances in Å follow each position.
Fractional positions:
Pr 0.2381 0.7044 0.9671  2 Ir 2.85, 1 Pt 2.91
Pr 0.2380 0.7044 0.4761  2 Ir 2.85, 1 Pt 2.91
Pr 0.2648 0.2952 0.5296  3 Ir 2.87
Pr 0.7290 0.7044 0.9671  2 Ir 2.85, 1 Pt 2.91
Pr 0.2710 0.2956 0.0329  2 Ir 2.85, 1 Pt 2.91
Pr 0.7352 0.7048 0.4704  3 Ir 2.87
Pr 0.7620 0.2956 0.5239  2 Ir 2.85, 1 Pt 2.91
Pr 0.7619 0.2956 0.0329  2 Ir 2.85, 1 Pt 2.91
Ir 0.5000 0.5000 0.0000  6 Pr 2.85-2.87
Ir 0.5000 0.5000 0.5000  6 Pr 2.85-2.87
Ir 0.0000 0.5000 0.5000  6 Pr 2.85-2.87
Pt 0.0000 0.5000 0.0000  6 Pr 2.91
Cl 0.5000 0.0000 0.0000  6 Pr 3.25-3.26
Cl 0.5000 0.0000 0.5000  6 Pr 3.29-3.31
Cl 0.0000 0.0000 0.0000  6 Pr 3.28-3.31
Cl 0.0000 0.0000 0.5000  6 Pr 3.29-3.31

Calculated values
The value obtained for the raw total energy is -97.87 eV for the cell shown. Its density of states at the Fermi level is 7.01 states/eV per cell. Its uncorrected formation energy is -28.28 kcal/mol of atoms.

=====

No. 2
Below is a geometry-optimized Pr8IrRh3Cl4 structure, with properties calculated at the PBE level.

Lattice parameters (Å, degrees): 8.2610 9.0001 8.2607 117.34 120.00 90.00
Closest atoms and distances in Å follow each position.
Fractional positions:
Pr 0.2346 0.7048 0.9705  1 Ir 2.85, 2 Rh 2.85
Pr 0.2345 0.7048 0.4690  1 Ir 2.85, 2 Rh 2.85
Pr 0.2650 0.2953 0.5300  3 Rh 2.85
Pr 0.7359 0.7048 0.9705  1 Ir 2.85, 2 Rh 2.85
Pr 0.2641 0.2952 0.0295  1 Ir 2.85, 2 Rh 2.85
Pr 0.7350 0.7047 0.4700  3 Rh 2.85
Pr 0.7655 0.2952 0.5310  1 Ir 2.85, 2 Rh 2.85
Pr 0.7654 0.2952 0.0295  1 Ir 2.85, 2 Rh 2.85
Ir 0.0000 0.5000 0.0000  6 Pr 2.85
Rh 0.5000 0.5000 0.0000  6 Pr 2.85
Rh 0.5000 0.5000 0.5000  6 Pr 2.85
Rh 0.0000 0.5000 0.5000  6 Pr 2.85
Cl 0.5000 0.0000 0.0000  6 Pr 3.28-3.29
Cl 0.5000 0.0000 0.5000  6 Pr 3.28
Cl 0.0000 0.0000 0.0000  6 Pr 3.28
Cl 0.0000 0.0000 0.5000  6 Pr 3.28

Calculated values
The value obtained for the raw total energy is -95.26 eV for the cell shown. Its density of states at the Fermi level is 4.77 states/eV per cell. Its uncorrected formation energy is -26.98 kcal/mol of atoms.

=====

No. 3
Below is a geometry-optimized Pr4IrRhCl2 structure, with properties calculated at the PBE level.

Lattice parameters (Å, degrees): 4.1432 7.1647 7.9787 107.27 90.00 90.00
Closest atoms and distances in Å follow each position.
Fractional positions:
Pr 0.5000 0.2324 0.2047  2 Ir 2.85, 1 Rh 2.86
Pr 0.5000 0.7676 0.7953  2 Ir 2.85, 1 Rh 2.86
Pr 0.0000 0.2658 0.7953  1 Ir 2.85, 2 Rh 2.85
Pr 0.0000 0.7342 0.2047  1 Ir 2.85, 2 Rh 2.85
Ir 0.0000 0.0000 0.0000  6 Pr 2.85
Rh 0.5000 0.5000 0.0000  6 Pr 2.85-2.86
Cl 0.5000 0.0000 0.5000  6 Pr 3.26-3.29
Cl 0.0000 0.5000 0.5000  6 Pr 3.27-3.29

Calculated values
The value obtained for the raw total energy is -48.43 eV for the cell shown. Its density of states at the Fermi level is 1.75 states/eV per cell. Its uncorrected formation energy is -27.12 kcal/mol of atoms.

=====

No. 4
Below is a geometry-optimized Pr6IrRh2Cl3 structure, with properties calculated at the PBE level.

Lattice parameters (Å, degrees): 7.1582 7.1582 7.9871 98.58 98.58 120.01
Closest atoms and distances in Å follow each position.
Fractional positions:
Pr 0.9318 0.5991 0.7950  1 Ir 2.85, 2 Rh 2.85
Pr 0.7355 0.7355 0.2051  1 Ir 2.85, 2 Rh 2.85
Pr 0.0682 0.4009 0.2050  1 Ir 2.85, 2 Rh 2.85
Pr 0.5991 0.9318 0.7950  1 Ir 2.85, 2 Rh 2.85
Pr 0.2645 0.2645 0.7949  1 Ir 2.85, 2 Rh 2.85
Pr 0.4009 0.0682 0.2050  1 Ir 2.85, 2 Rh 2.85
Ir 0.0000 0.0000 0.0000  6 Pr 2.85
Rh 0.3333 0.6667 0.0000  6 Pr 2.85
Rh 0.6667 0.3333 0.0000  6 Pr 2.85
Cl 0.1667 0.8333 0.5000  6 Pr 3.28
Cl 0.8333 0.1667 0.5000  6 Pr 3.28
Cl 0.5000 0.5000 0.5000  6 Pr 3.28

Calculated values
The value obtained for the raw total energy is -71.85 eV for the cell shown. Its density of states at the Fermi level is 3.65 states/eV per cell. Its uncorrected formation energy is -27.05 kcal/mol of atoms.

=====

No. 5
Below is a geometry-optimized Pr8Ir3RhCl4 structure, with properties calculated at the PBE level.

Lattice parameters (Å, degrees): 8.3133 8.9911 8.3125 117.56 120.00 90.00
Closest atoms and distances in Å follow each position.
Fractional positions:
Pr 0.2353 0.7040 0.9689  2 Ir 2.85, 1 Rh 2.86
Pr 0.2353 0.7040 0.4705  2 Ir 2.85, 1 Rh 2.86
Pr 0.2653 0.2961 0.5305  3 Ir 2.86
Pr 0.7336 0.7040 0.9689  2 Ir 2.85, 1 Rh 2.86
Pr 0.2664 0.2960 0.0311  2 Ir 2.85, 1 Rh 2.86
Pr 0.7347 0.7039 0.4695  3 Ir 2.86
Pr 0.7647 0.2960 0.5295  2 Ir 2.85, 1 Rh 2.86
Pr 0.7647 0.2960 0.0311  2 Ir 2.85, 1 Rh 2.86
Ir 0.5000 0.5000 0.0000  6 Pr 2.85-2.86
Ir 0.5000 0.5000 0.5000  6 Pr 2.85-2.86
Ir 0.0000 0.5000 0.5000  6 Pr 2.85-2.86
Rh 0.0000 0.5000 0.0000  6 Pr 2.86
Cl 0.5000 0.0000 0.0000  6 Pr 3.28
Cl 0.5000 0.0000 0.5000  6 Pr 3.29
Cl 0.0000 0.0000 0.0000  6 Pr 3.29
Cl 0.0000 0.0000 0.5000  6 Pr 3.29

Calculated values
The value obtained for the raw total energy is -98.40 eV for the cell shown. Its density of states at the Fermi level is 5.40 states/eV per cell. Its uncorrected formation energy is -27.15 kcal/mol of atoms.

=====

No. 6
Below is a geometry-optimized Pr6IrRu2Cl3 structure, with properties calculated at the PBE level.

Lattice parameters (Å, degrees): 7.1116 7.1116 8.0179 98.49 98.49 120.03
Closest atoms and distances in Å follow each position.
Fractional positions:
Pr 0.9316 0.5943 0.7942  2 Ru 2.84, 1 Ir 2.87
Pr 0.7311 0.7311 0.2061  2 Ru 2.83, 1 Ir 2.87
Pr 0.0684 0.4057 0.2058  2 Ru 2.84, 1 Ir 2.87
Pr 0.5943 0.9316 0.7942  2 Ru 2.84, 1 Ir 2.87
Pr 0.2689 0.2689 0.7939  2 Ru 2.83, 1 Ir 2.87
Pr 0.4057 0.0684 0.2058  2 Ru 2.84, 1 Ir 2.87
Ir 0.0000 0.0000 0.0000  6 Pr 2.87
Ru 0.3337 0.6663 0.0000  6 Pr 2.83-2.84
Ru 0.6663 0.3337 0.0000  6 Pr 2.83-2.84
Cl 0.1703 0.8297 0.5000  6 Pr 3.22-3.31
Cl 0.8297 0.1703 0.5000  6 Pr 3.22-3.31
Cl 0.5000 0.5000 0.5000  6 Pr 3.25-3.28

Calculated values
The value obtained for the raw total energy is -73.18 eV for the cell shown. Its density of states at the Fermi level is 5.84 states/eV per cell. Its uncorrected formation energy is -22.20 kcal/mol of atoms.

=====

No. 7
Below is a geometry-optimized Pr6Ir2SCl3 structure, with properties calculated at the PBE level.

Lattice parameters (Å, degrees): 7.2985 7.2985 7.7316 98.99 98.99 119.99
Closest atoms and distances in Å follow each position.
Fractional positions:
Pr 0.9293 0.5811 0.7900  2 Ir 2.83, 1 S 2.98
Pr 0.7203 0.7203 0.2077  2 Ir 2.83, 1 S 2.97, 1 Cl 3.16
Pr 0.0707 0.4189 0.2100  2 Ir 2.83, 1 S 2.98
Pr 0.5811 0.9293 0.7900  2 Ir 2.83, 1 S 2.98
Pr 0.2797 0.2797 0.7923  2 Ir 2.83, 1 S 2.97, 1 Cl 3.16
Pr 0.4189 0.0707 0.2100  2 Ir 2.83, 1 S 2.98
Ir 0.3325 0.6675 0.0000  6 Pr 2.83
Ir 0.6675 0.3325 0.0000  6 Pr 2.83
S 0.0000 0.0000 0.0000  6 Pr 2.97-2.98
Cl 0.1599 0.8401 0.5000  6 Pr 3.21-3.28
Cl 0.8401 0.1599 0.5000  6 Pr 3.21-3.28
Cl 0.5000 0.5000 0.5000  6 Pr 3.16-3.28

Calculated values
The value obtained for the raw total energy is -72.34 eV for the cell shown. Its density of states at the Fermi level is 6.30 states/eV per cell. Its uncorrected formation energy is -31.28 kcal/mol of atoms.

=====

No. 8
Below is a geometry-optimized Pr3IrSCl structure, with properties calculated at the PBE level.

Lattice parameters (Å, degrees): 4.0814 8.5605 10.5852 91.25 90.00 90.00
Closest atoms and distances in Å follow each position.
Fractional positions:
Pr 0.7500 0.8613 0.1333  3 S 2.89-2.98, 2 Ir 2.91, 1 Cl 2.92
Pr 0.2500 0.1387 0.8667  3 S 2.89-2.98, 2 Ir 2.91, 1 Cl 2.92
Pr 0.2500 0.6523 0.4055  1 Ir 2.79, 2 Cl 2.85
Pr 0.7500 0.3477 0.5945  1 Ir 2.79, 2 Cl 2.85
Pr 0.7500 0.3738 0.1362  3 Ir 2.93-2.96, 2 S 3.02
Pr 0.2500 0.6262 0.8638  3 Ir 2.93-2.96, 2 S 3.02
Ir 0.2500 0.6198 0.1428  6 Pr 2.79-2.96
Ir 0.7500 0.3802 0.8572  6 Pr 2.79-2.96
S 0.2500 0.1145 0.1388  5 Pr 2.89-3.02
S 0.7500 0.8855 0.8612  5 Pr 2.89-3.02
Cl 0.2500 0.1153 0.5907  3 Pr 2.85-2.92
Cl 0.7500 0.8847 0.4093  3 Pr 2.85-2.92

Calculated values
The value obtained for the raw total energy is -73.32 eV for the cell shown. Its density of states at the Fermi level is 4.99 states/eV per cell. Its uncorrected formation energy is -28.78 kcal/mol of atoms.

=====

No. 9
Below is a geometry-optimized Pr3SbIrCl structure, with properties calculated at the PBE level.

Lattice parameters (Å, degrees): 4.4636 8.0072 10.1018 109.74 90.00 90.00
Closest atoms and distances in Å follow each position.
Fractional positions:
Pr 0.2500 0.7081 0.4727  3 Cl 2.89-3.10
Pr 0.7500 0.9293 0.1177  2 Ir 2.87, 1 Cl 2.92
Pr 0.7500 0.4695 0.1439  3 Ir 2.79-2.99
Pr 0.7500 0.2919 0.5273  3 Cl 2.89-3.10
Pr 0.2500 0.5305 0.8561  3 Ir 2.79-2.99
Pr 0.2500 0.0707 0.8823  2 Ir 2.87, 1 Cl 2.92
Sb 0.7500 0.7301 0.7148  7 Pr 3.27-3.49
Sb 0.2500 0.2699 0.2852  7 Pr 3.27-3.49
Ir 0.2500 0.7174 0.1447  5 Pr 2.79-2.99
Ir 0.7500 0.2826 0.8553  5 Pr 2.79-2.99
Cl 0.2500 0.1178 0.6078  4 Pr 2.89-3.10
Cl 0.7500 0.8822 0.3922  4 Pr 2.89-3.10

Calculated values
The value obtained for the raw total energy is -70.26 eV for the cell shown. Its density of states at the Fermi level is 7.87 states/eV per cell. Its uncorrected formation energy is -22.92 kcal/mol of atoms.

=====

No. 10
Below is a geometry-optimized Pr3IrSeCl structure, with properties calculated at the PBE level.

Lattice parameters (Å, degrees): 4.1523 8.7595 10.3637 92.14 90.00 90.00
Closest atoms and distances in Å follow each position.
Fractional positions:
Pr 0.7500 0.8549 0.1362  2 Ir 2.92, 1 Cl 2.93, 3 Se 3.03-3.09
Pr 0.2500 0.1451 0.8638  2 Ir 2.92, 1 Cl 2.93, 3 Se 3.03-3.09
Pr 0.2500 0.6555 0.4123  1 Ir 2.78, 2 Cl 2.84
Pr 0.7500 0.3445 0.5877  1 Ir 2.78, 2 Cl 2.84
Pr 0.7500 0.3844 0.1402  3 Ir 2.94-2.95, 2 Se 3.14
Pr 0.2500 0.6156 0.8598  3 Ir 2.94-2.95, 2 Se 3.14
Ir 0.2500 0.6216 0.1442  6 Pr 2.78-2.95
Ir 0.7500 0.3784 0.8558  6 Pr 2.78-2.95
Se 0.2500 0.1168 0.1539  5 Pr 3.03-3.14
Se 0.7500 0.8832 0.8461  5 Pr 3.03-3.14
Cl 0.2500 0.1237 0.5809  3 Pr 2.84-2.93
Cl 0.7500 0.8763 0.4191  3 Pr 2.84-2.93

Calculated values
The value obtained for the raw total energy is -71.70 eV for the cell shown. Its density of states at the Fermi level is 4.87 states/eV per cell. Its uncorrected formation energy is -28.13 kcal/mol of atoms.

=====

Question: Which value of raw total energy does entry 2 give?
Answer: -95.26 eV for the cell shown